! Mg2ScZn2 | Alexandria | PBE-GGA | relaxed; values from VASP
! * SG: No. 139
! * formation energy from the elements: 0.06 eV per atom
! * polymorph energy (0 for the lowest one): 171 meV per atom
! * total magnetization: 0.00 μB per formula unit
! * E_tot: -2.353 eV/atom
! * calculated volume: 20.390 Å³ per atom
&SYSTEM
  ibrav = 0, nat = 5, ntyp = 3
/
ATOMIC_SPECIES
Sc 44.96 Sc.upf
Zn 65.41 Zn.upf
Mg 24.30 Mg.upf
ATOMIC_POSITIONS crystal
Sc 0.000 0.000 0.000
Zn 0.750 0.250 0.500
Zn 0.250 0.750 0.500
Mg 0.393 0.393 0.213
Mg 0.607 0.607 0.787
CELL_PARAMETERS angstrom
3.942 0.000 0.000
0.000 3.942 0.000
1.971 1.971 6.560